A plane-wave DFT calculation with PBE was carried out for a relaxed structure of Sm2ReOs3.

Cell: 5.5200 5.5200 8.5318 Å, 90.00 90.00 120.00°
Last column: nearest neighbours and their distance in Å.
Positions (direct):
Re1 0.0000 0.0000 0.5000  6 Os 2.69
Re2 0.0000 0.0000 0.0000  6 Os 2.69
Os1 0.8285 0.1715 0.7500  4 Os 2.68-2.84, 2 Re 2.69
Os2 0.3430 0.1715 0.7500  4 Os 2.68-2.84, 2 Re 2.69
Os3 0.1715 0.8285 0.2500  4 Os 2.68-2.84, 2 Re 2.69
Os4 0.8285 0.6570 0.7500  4 Os 2.68-2.84, 2 Re 2.69
Os5 0.1715 0.3430 0.2500  4 Os 2.68-2.84, 2 Re 2.69
Os6 0.6570 0.8285 0.2500  4 Os 2.68-2.84, 2 Re 2.69
Sm1 0.6667 0.3333 0.4339  9 Os 3.11-3.17, 4 Sm 3.14-3.38, 3 Re 3.24
Sm2 0.3333 0.6667 0.9339  9 Os 3.11-3.17, 4 Sm 3.14-3.38, 3 Re 3.24
Sm3 0.6667 0.3333 0.0661  9 Os 3.11-3.17, 4 Sm 3.14-3.38, 3 Re 3.24
Sm4 0.3333 0.6667 0.5661  9 Os 3.11-3.17, 4 Sm 3.14-3.38, 3 Re 3.24

Crystal system: hexagonal
Volume in A^3/atom: 18.8
Uncorrected energy in eV per atom: -9.42



A plane-wave DFT calculation with PBE was carried out for a relaxed structure of ReSn2Os.

Cell: 7.5937 7.5937 6.0295 Å, 50.97 50.97 90.00°
Last column: nearest neighbours and their distance in Å.
Positions (direct):
Os1 0.0000 0.0000 0.0000  4 Sn 2.72, 2 Re 2.74
Os2 0.7500 0.2500 0.5000  4 Sn 2.72, 2 Re 2.74
Re1 0.2500 0.7500 0.5000  2 Os 2.74, 4 Sn 2.83
Re2 0.5000 0.5000 0.0000  2 Os 2.74, 4 Sn 2.83
Sn1 0.3750 0.3646 0.7500  2 Os 2.72, 2 Sn 2.75, 2 Re 2.83
Sn2 0.1146 0.6250 0.2500  2 Os 2.72, 2 Sn 2.75, 2 Re 2.83
Sn3 0.6354 0.1250 0.2500  2 Os 2.72, 2 Sn 2.75, 2 Re 2.83
Sn4 0.8750 0.8854 0.7500  2 Os 2.72, 2 Sn 2.75, 2 Re 2.83

Crystal system: tetragonal
Volume in A^3/atom: 19.8
Distance to the lowest polymorph of the same formula in meV per atom: 642.9



Copy entry 1 word for word.
A plane-wave DFT calculation with PBE was carried out for a relaxed structure of Sm2ReOs3.

Cell: 5.5200 5.5200 8.5318 Å, 90.00 90.00 120.00°
Last column: nearest neighbours and their distance in Å.
Positions (direct):
Re1 0.0000 0.0000 0.5000  6 Os 2.69
Re2 0.0000 0.0000 0.0000  6 Os 2.69
Os1 0.8285 0.1715 0.7500  4 Os 2.68-2.84, 2 Re 2.69
Os2 0.3430 0.1715 0.7500  4 Os 2.68-2.84, 2 Re 2.69
Os3 0.1715 0.8285 0.2500  4 Os 2.68-2.84, 2 Re 2.69
Os4 0.8285 0.6570 0.7500  4 Os 2.68-2.84, 2 Re 2.69
Os5 0.1715 0.3430 0.2500  4 Os 2.68-2.84, 2 Re 2.69
Os6 0.6570 0.8285 0.2500  4 Os 2.68-2.84, 2 Re 2.69
Sm1 0.6667 0.3333 0.4339  9 Os 3.11-3.17, 4 Sm 3.14-3.38, 3 Re 3.24
Sm2 0.3333 0.6667 0.9339  9 Os 3.11-3.17, 4 Sm 3.14-3.38, 3 Re 3.24
Sm3 0.6667 0.3333 0.0661  9 Os 3.11-3.17, 4 Sm 3.14-3.38, 3 Re 3.24
Sm4 0.3333 0.6667 0.5661  9 Os 3.11-3.17, 4 Sm 3.14-3.38, 3 Re 3.24

Crystal system: hexagonal
Volume in A^3/atom: 18.8
Uncorrected energy in eV per atom: -9.42



Number 2 is which compound? ReSn2Os